Entry 1:
A relaxed structure of Ag2GeSbTe4. Source: the Alexandria database, functional PBE.

Unit cell a=4.2568 b=7.3699 c=7.3866 alpha=110.18 beta=90.00 gamma=90.00
Closest atoms and distances in Å follow each position.
Fractional positions:
1 Ag 0.5000 0.0000 0.5000  6 Te 2.94-2.98
2 Ag 0.0000 0.5000 0.5000  6 Te 3.00-3.05
3 Ge 0.0000 0.0000 0.0000  6 Te 3.00
4 Sb 0.5000 0.5000 0.0000  6 Te 3.06-3.07
5 Te 0.5000 0.2465 0.2534  3 Ag 2.98-3.00, 2 Ge 3.00, 1 Sb 3.07
6 Te 0.5000 0.7535 0.7466  3 Ag 2.98-3.00, 2 Ge 3.00, 1 Sb 3.07
7 Te 0.0000 0.2382 0.7424  3 Ag 2.94-3.05, 1 Ge 3.00, 2 Sb 3.06
8 Te 0.0000 0.7618 0.2576  3 Ag 2.94-3.05, 1 Ge 3.00, 2 Sb 3.06

Properties
Formation energy without anion corrections: -0.067 eV/atom
Fermi-level density of states: 3.69 states/eV/f.u.
Space group: P2/m
Density: 7.028 g cm⁻³


Entry 2:
A relaxed structure of Ag4GeSb3Te8. Source: the Alexandria database, functional PBE.

Unit cell a=8.6031 b=8.5554 c=8.6040 alpha=120.20 beta=120.00 gamma=90.00
Closest atoms and distances in Å follow each position.
Fractional positions:
1 Ag 0.5000 0.0000 0.0000  6 Te 3.04
2 Ag 0.5000 0.0000 0.5000  6 Te 2.98-2.99
3 Ag 0.0000 0.0000 0.0000  6 Te 2.98
4 Ag 0.0000 0.0000 0.5000  6 Te 2.98-2.99
5 Ge 0.0000 0.5000 0.0000  6 Te 3.03
6 Sb 0.5000 0.5000 0.0000  6 Te 3.08
7 Sb 0.5000 0.5000 0.5000  6 Te 3.08
8 Sb 0.0000 0.5000 0.5000  6 Te 3.08
9 Te 0.2494 0.7576 0.0083  3 Ag 2.98-3.04, 1 Ge 3.03, 2 Sb 3.08
10 Te 0.2495 0.7577 0.4989  3 Ag 2.98-3.04, 1 Ge 3.03, 2 Sb 3.08
11 Te 0.2459 0.2378 0.4918  3 Ag 2.98-2.99, 3 Sb 3.08
12 Te 0.7589 0.7576 0.0083  3 Ag 2.98-3.04, 1 Ge 3.03, 2 Sb 3.08
13 Te 0.2411 0.2424 0.9917  3 Ag 2.98-3.04, 1 Ge 3.03, 2 Sb 3.08
14 Te 0.7541 0.7622 0.5082  3 Ag 2.98-2.99, 3 Sb 3.08
15 Te 0.7505 0.2423 0.5011  3 Ag 2.98-3.04, 1 Ge 3.03, 2 Sb 3.08
16 Te 0.7506 0.2424 0.9917  3 Ag 2.98-3.04, 1 Ge 3.03, 2 Sb 3.08

Properties
Formation energy without anion corrections: -0.077 eV/atom
Fermi-level density of states: 6.01 states/eV/f.u.
Space group: R-3m
Density: 7.030 g cm⁻³


Entry 3:
A relaxed structure of AgGeSb2Te. Source: the Alexandria database, functional PBE.

Unit cell a=5.3009 b=5.3009 c=5.5239 alpha=90.00 beta=90.00 gamma=90.00
Closest atoms and distances in Å follow each position.
Fractional positions:
1 Sb 0.0000 0.5000 0.0000  2 Ag 2.65
2 Sb 0.5000 0.0000 0.0000  2 Ag 2.65
3 Ge 0.5000 0.5000 0.5000  4 Te 3.75, 8 Sb 3.83
4 Te 0.0000 0.0000 0.5000  2 Ag 2.76
5 Ag 0.0000 0.0000 0.0000  4 Sb 2.65, 2 Te 2.76

Properties
Formation energy without anion corrections: 0.753 eV/atom
Fermi-level density of states: 5.58 states/eV/f.u.
Space group: P4/mmm
Energy above the lowest structure with this stoichiometry: 0.051 eV/atom
Density: 5.901 g cm⁻³


Entry 4:
A relaxed structure of ScAg2Ge2. Source: the Alexandria database, functional PBE.

Unit cell a=7.6744 b=7.6744 c=3.2570 alpha=90.00 beta=90.00 gamma=90.00
Closest atoms and distances in Å follow each position.
Fractional positions:
1 Sc 0.0000 0.0000 0.0000  4 Ge 2.88
2 Sc 0.5000 0.5000 0.0000  4 Ge 2.88
3 Ge 0.3402 0.8402 0.0000  6 Ag 2.72-2.82, 2 Sc 2.88
4 Ge 0.8402 0.6598 0.0000  6 Ag 2.72-2.82, 2 Sc 2.88
5 Ge 0.6598 0.1598 0.0000  6 Ag 2.72-2.82, 2 Sc 2.88
6 Ge 0.1598 0.3402 0.0000  6 Ag 2.72-2.82, 2 Sc 2.88
7 Ag 0.1399 0.6399 0.5000  6 Ge 2.72-2.82, 1 Ag 3.04
8 Ag 0.6399 0.8601 0.5000  6 Ge 2.72-2.82, 1 Ag 3.04
9 Ag 0.8601 0.3601 0.5000  6 Ge 2.72-2.82, 1 Ag 3.04
10 Ag 0.3601 0.1399 0.5000  6 Ge 2.72-2.82, 1 Ag 3.04

Properties
Energy of formation: -0.0459 eV/atom
Fermi-level density of states: 2.52 states/eV/f.u.
Space group: P4/mbm
Density: 7.029 g cm⁻³


Entry 5:
A relaxed structure of ScAgGe2. Source: the Alexandria database, functional PBE.

Unit cell a=4.3306 b=4.3306 c=9.4472 alpha=76.75 beta=76.75 gamma=90.00
Closest atoms and distances in Å follow each position.
Fractional positions:
1 Sc 0.5000 0.5000 0.0000  4 Ge 2.77, 4 Ag 3.06
2 Sc 0.2500 0.7500 0.5000  4 Ge 2.77, 4 Ag 3.06
3 Ge 0.6604 0.1250 0.2500  2 Ag 2.65, 2 Sc 2.77, 2 Ge 2.85
4 Ge 0.0896 0.6250 0.2500  2 Ag 2.65, 2 Sc 2.77, 2 Ge 2.85
5 Ge 0.3750 0.3396 0.7500  2 Ag 2.65, 2 Sc 2.77, 2 Ge 2.85
6 Ge 0.8750 0.9104 0.7500  2 Ag 2.65, 2 Sc 2.77, 2 Ge 2.85
7 Ag 0.0000 0.0000 0.0000  4 Ge 2.65
8 Ag 0.7500 0.2500 0.5000  4 Ge 2.65

Properties
Energy of formation: -0.0842 eV/atom
Fermi-level density of states: 0.81 states/eV/f.u.
Space group: I-42d
Density: 5.907 g cm⁻³


Entry 6:
A relaxed structure of ScAgGe2. Source: the Alexandria database, functional PBE.

Unit cell a=4.7479 b=4.7479 c=4.7479 alpha=60.00 beta=60.00 gamma=60.00
Closest atoms and distances in Å follow each position.
Fractional positions:
1 Sc 0.0000 0.0000 0.0000  8 Ge 2.91
2 Ge 0.2500 0.2500 0.2500  4 Sc 2.91, 4 Ag 2.91
3 Ge 0.7500 0.7500 0.7500  4 Sc 2.91, 4 Ag 2.91
4 Ag 0.5000 0.5000 0.5000  8 Ge 2.91

Properties
Energy of formation: -0.1450 eV/atom
Fermi-level density of states: 2.63 states/eV/f.u.
Space group: Fm-3m
Density: 6.541 g cm⁻³


Entry 7:
A relaxed structure of ScAgGe2. Source: the Alexandria database, functional PBE.

Unit cell a=3.9499 b=4.2924 c=4.2924 alpha=90.00 beta=90.00 gamma=90.00
Closest atoms and distances in Å follow each position.
Fractional positions:
1 Sc 0.5000 0.5000 0.5000  8 Ge 2.92, 4 Ag 3.04
2 Ge 0.0000 0.0000 0.5000  4 Sc 2.92, 4 Ag 2.92, 4 Ge 3.04
3 Ge 0.0000 0.5000 0.0000  4 Sc 2.92, 4 Ag 2.92, 4 Ge 3.04
4 Ag 0.5000 0.0000 0.0000  8 Ge 2.92, 4 Sc 3.04

Properties
Energy of formation: -0.3475 eV/atom
Fermi-level density of states: 1.09 states/eV/f.u.
Space group: P4/mmm
Density: 6.802 g cm⁻³


Entry 8:
A relaxed structure of ScAg2GeSe4. Source: the Alexandria database, functional PBE.

Unit cell a=6.1014 b=6.1011 c=7.3692 alpha=114.47 beta=114.47 gamma=90.01
Closest atoms and distances in Å follow each position.
Fractional positions:
1 Sc 0.9858 0.4858 0.9716  4 Se 2.60
2 Ag 0.4858 0.9860 0.9718  4 Se 2.67
3 Ag 0.2360 0.2358 0.4720  4 Se 2.68
4 Ge 0.7358 0.7358 0.4717  4 Se 2.55
5 Se 0.6238 0.6133 0.7188  1 Ge 2.55, 1 Sc 2.60, 2 Ag 2.67-2.68
6 Se 0.8589 0.3768 0.2249  1 Ge 2.55, 1 Sc 2.60, 2 Ag 2.67-2.68
7 Se 0.3661 0.8481 0.2247  1 Ge 2.55, 1 Sc 2.60, 2 Ag 2.67-2.68
8 Se 0.0949 0.1055 0.7186  1 Ge 2.55, 1 Sc 2.60, 2 Ag 2.67-2.68

Properties
Formation energy without anion corrections: -0.540 eV/atom
Fermi-level density of states: 5.42 states/eV/f.u.
Space group: I-4
Density: 4.849 g cm⁻³